An optimized crystal structure of PaI. Source: OQMD via LeMat-Bulk, functional GGA-PBE.

Lattice parameters (Å, degrees): 6.9526 6.9526 6.9526 90.00 90.00 90.00
Space group F-43m (No. 216)
Unique sites:
Pa 0.0000 0.0000 0.0000 x4
I 0.2500 0.2500 0.2500 x4

Values from the calculation:
Volume: 336.1 Å³/cell
E_tot: -0.3392 Ry per atom
Magnetization: 1.323 μB per atom